PuFe2NiO8 | the Alexandria database | PBE with a Hubbard U | relaxed; calculated volume = 12.3 Å³/atom; symmetry = I-4m2 (119); crystal system = tetragonal; uncorrected energy = -6.9180 eV/atom
1.0
5.751 0.416 0.000
-2.178 5.339 0.000
-1.787 -2.878 4.667
Fe O Ni Pu
2 8 1 1
Cartesian
2.876 0.208 2.333
1.787 2.878 0.000
0.127 -1.599 3.716
2.817 1.836 3.241
-0.127 1.599 3.716
0.298 2.282 0.951
3.276 3.473 0.951
1.391 -0.461 1.425
4.360 0.878 1.425
2.934 -1.419 3.241
0.000 0.000 0.000
-1.089 2.670 2.333